No. 1
! AlIr2Rh2 GGA-PBE relaxed; values from VASP
&SYSTEM
  ibrav = 0, nat = 10, ntyp = 3
/
ATOMIC_SPECIES
Ir 192.22 Ir.upf
Rh 102.91 Rh.upf
Al 26.98 Al.upf
ATOMIC_POSITIONS crystal
Ir 0.362 0.862 0.000
Ir 0.138 0.362 0.000
Ir 0.638 0.138 0.000
Ir 0.862 0.638 0.000
Rh 0.346 0.154 0.500
Rh 0.154 0.654 0.500
Rh 0.654 0.846 0.500
Rh 0.846 0.346 0.500
Al 0.500 0.500 0.000
Al 0.000 0.000 0.000
CELL_PARAMETERS angstrom
-3.918 2.121 4.530
4.420 -1.225 4.397
1.423 3.563 -0.438
! Calculated volume (Å³ per cell): 156
! Formation enthalpy at 0 K (meV per atom): -36
! Total energy (eV/atom): -7.27

***

No. 2
! AlIr2Rh GGA-PBE relaxed; values from VASP
&SYSTEM
  ibrav = 0, nat = 4, ntyp = 3
/
ATOMIC_SPECIES
Ir 192.22 Ir.upf
Rh 102.91 Rh.upf
Al 26.98 Al.upf
ATOMIC_POSITIONS crystal
Ir 0.000 0.805 0.017
Ir 0.500 0.200 0.227
Rh 0.000 0.545 0.536
Al 0.500 0.950 0.721
CELL_PARAMETERS angstrom
-2.693 -1.023 2.833
1.961 0.261 1.958
-0.261 5.063 1.579
! Calculated volume (Å³ per cell): 58
! Formation enthalpy at 0 K (meV per atom): -352
! Total energy (eV/atom): -7.56

***

No. 3
! Al6IrRh5 GGA-PBE relaxed; values from VASP
&SYSTEM
  ibrav = 0, nat = 12, ntyp = 3
/
ATOMIC_SPECIES
Ir 192.22 Ir.upf
Al 26.98 Al.upf
Rh 102.91 Rh.upf
ATOMIC_POSITIONS crystal
Ir 0.000 0.000 0.000
Al 0.167 0.749 0.666
Al 0.167 0.251 0.666
Al 0.500 0.749 0.000
Al 0.833 0.749 0.334
Al 0.833 0.251 0.334
Al 0.500 0.251 0.000
Rh 0.000 0.500 0.000
Rh 0.333 0.000 0.333
Rh 0.667 0.500 0.666
Rh 0.333 0.500 0.334
Rh 0.667 0.000 0.667
CELL_PARAMETERS angstrom
4.034 -0.024 1.344
0.032 6.007 0.011
0.001 -0.012 6.723
! Calculated volume (Å³ per cell): 163
! Formation enthalpy at 0 K (meV per atom): -1071
! Total energy (eV/atom): -6.74

***

No. 4
! Al6Ir5Rh GGA-PBE relaxed; values from VASP
&SYSTEM
  ibrav = 0, nat = 12, ntyp = 3
/
ATOMIC_SPECIES
Ir 192.22 Ir.upf
Al 26.98 Al.upf
Rh 102.91 Rh.upf
ATOMIC_POSITIONS crystal
Ir 0.667 0.000 0.666
Ir 0.667 0.500 0.666
Ir 0.333 0.000 0.334
Ir 0.333 0.500 0.334
Ir 0.000 0.500 0.000
Al 0.166 0.249 0.668
Al 0.500 0.752 0.000
Al 0.500 0.248 0.000
Al 0.166 0.751 0.668
Al 0.834 0.249 0.332
Al 0.834 0.751 0.332
Rh 0.000 0.000 0.000
CELL_PARAMETERS angstrom
4.050 -0.024 1.358
0.032 6.007 0.011
0.009 -0.012 6.767
! Calculated volume (Å³ per cell): 165
! Formation enthalpy at 0 K (meV per atom): -969
! Total energy (eV/atom): -7.15

***

No. 5
! AlIr2Rh GGA-PBE relaxed; values from VASP
&SYSTEM
  ibrav = 0, nat = 4, ntyp = 3
/
ATOMIC_SPECIES
Ir 192.22 Ir.upf
Rh 102.91 Rh.upf
Al 26.98 Al.upf
ATOMIC_POSITIONS crystal
Ir 0.000 0.000 0.991
Ir 0.000 0.000 0.509
Rh 0.500 0.500 0.250
Al 0.500 0.500 0.750
CELL_PARAMETERS angstrom
-1.562 1.429 -1.798
-2.207 -0.331 1.653
1.687 6.256 3.507
! Calculated volume (Å³ per cell): 57
! Formation enthalpy at 0 K (meV per atom): -356
! Total energy (eV/atom): -7.56

***

No. 6
! AlIr2Rh GGA-PBE relaxed; values from VASP
&SYSTEM
  ibrav = 0, nat = 4, ntyp = 3
/
ATOMIC_SPECIES
Rh 102.91 Rh.upf
Ir 192.22 Ir.upf
Al 26.98 Al.upf
ATOMIC_POSITIONS crystal
Rh 0.000 0.000 0.517
Ir 0.500 0.500 0.251
Ir 0.000 0.000 0.985
Al 0.500 0.500 0.748
CELL_PARAMETERS angstrom
-1.075 -2.478 -0.550
2.637 0.510 -0.620
2.430 -2.830 8.003
! Calculated volume (Å³ per cell): 58
! Formation enthalpy at 0 K (meV per atom): -111
! Total energy (eV/atom): -7.32

***

No. 7
! Al2IrRh GGA-PBE relaxed; values from VASP
&SYSTEM
  ibrav = 0, nat = 4, ntyp = 3
/
ATOMIC_SPECIES
Rh 102.91 Rh.upf
Al 26.98 Al.upf
Ir 192.22 Ir.upf
ATOMIC_POSITIONS crystal
Rh 0.750 0.750 0.750
Al 0.250 0.250 0.250
Al 0.000 0.000 0.000
Ir 0.500 0.500 0.500
CELL_PARAMETERS angstrom
-1.796 2.768 2.839
-1.978 -1.520 3.567
1.815 0.588 3.913
! Calculated volume (Å³ per cell): 58
! Formation enthalpy at 0 K (meV per atom): -351
! Total energy (eV/atom): -6.28

***

No. 8
! AlIrRh2 GGA-PBE relaxed; values from VASP
&SYSTEM
  ibrav = 0, nat = 4, ntyp = 3
/
ATOMIC_SPECIES
Ir 192.22 Ir.upf
Al 26.98 Al.upf
Rh 102.91 Rh.upf
ATOMIC_POSITIONS crystal
Ir 0.250 0.250 0.250
Al 0.750 0.750 0.750
Rh 0.004 0.004 0.002
Rh 0.496 0.496 0.498
CELL_PARAMETERS angstrom
4.701 0.001 -0.008
3.880 2.655 -0.008
0.926 0.287 4.531
! Calculated volume (Å³ per cell): 57
! Formation enthalpy at 0 K (meV per atom): -439
! Total energy (eV/atom): -7.27

***

No. 9
! AlIrRh2 GGA-PBE relaxed; values from VASP
&SYSTEM
  ibrav = 0, nat = 4, ntyp = 3
/
ATOMIC_SPECIES
Ir 192.22 Ir.upf
Rh 102.91 Rh.upf
Al 26.98 Al.upf
ATOMIC_POSITIONS crystal
Ir 0.500 0.625 0.801
Rh 0.500 0.125 0.304
Rh 0.000 0.125 0.948
Al 0.000 0.625 0.447
CELL_PARAMETERS angstrom
-2.958 2.643 -1.877
-1.644 -2.187 -0.488
-2.057 0.627 4.124
! Calculated volume (Å³ per cell): 57
! Formation enthalpy at 0 K (meV per atom): -427
! Total energy (eV/atom): -7.25

***

No. 10
! Al2IrRh GGA-PBE relaxed; values from VASP
&SYSTEM
  ibrav = 0, nat = 4, ntyp = 3
/
ATOMIC_SPECIES
Rh 102.91 Rh.upf
Al 26.98 Al.upf
Ir 192.22 Ir.upf
ATOMIC_POSITIONS crystal
Rh 0.500 0.500 0.765
Al 0.000 0.000 0.988
Al 0.500 0.500 0.260
Ir 0.000 0.000 0.487
CELL_PARAMETERS angstrom
-0.109 -2.130 1.777
0.524 -0.655 -2.646
8.457 0.800 1.477
! Calculated volume (Å³ per cell): 60
! Formation enthalpy at 0 K (meV per atom): -199
! Total energy (eV/atom): -6.12

***

No. 11
! AlIrRuRh GGA-PBE relaxed; values from VASP
&SYSTEM
  ibrav = 0, nat = 4, ntyp = 4
/
ATOMIC_SPECIES
Rh 102.91 Rh.upf
Ru 101.07 Ru.upf
Ir 192.22 Ir.upf
Al 26.98 Al.upf
ATOMIC_POSITIONS crystal
Rh 0.250 0.250 0.250
Ru 0.500 0.500 0.500
Ir 0.750 0.750 0.750
Al 0.000 0.000 0.000
CELL_PARAMETERS angstrom
-4.090 -1.343 -0.630
-2.140 -2.032 3.197
-3.285 2.001 2.034
! Calculated volume (Å³ per cell): 58
! Formation enthalpy at 0 K (meV per atom): -134
! Total energy (eV/atom): -7.44

***

No. 12
! AlIrRh2S GGA-PBE relaxed; values from VASP
&SYSTEM
  ibrav = 0, nat = 5, ntyp = 4
/
ATOMIC_SPECIES
Ir 192.22 Ir.upf
S 32.06 S.upf
Al 26.98 Al.upf
Rh 102.91 Rh.upf
ATOMIC_POSITIONS crystal
Ir 0.000 0.000 0.500
S 0.000 0.000 0.000
Al 0.500 0.500 0.500
Rh 0.000 0.500 0.000
Rh 0.500 0.000 0.000
CELL_PARAMETERS angstrom
-3.861 0.129 2.019
-0.573 -4.242 -0.825
1.956 -1.004 3.806
! Calculated volume (Å³ per cell): 84
! Formation energy without anion corrections (eV per atom): 0.22
! Total energy (eV/atom): -6.06